No. 1
# NaPrZnCd (GGA-PBE, optimized geometry)
data_NaPrZnCd
_chemical_formula_sum 'Na4 Pr4 Zn4 Cd4'
_symmetry_space_group_name_H-M 'F -4 3 m'
_symmetry_Int_Tables_number 216
_symmetry_space_group_name_Hall 'F -4 2 3'
_cell_length_a 7.406
_cell_length_b 7.406
_cell_length_c 7.406
_cell_angle_alpha 90.00
_cell_angle_beta 90.00
_cell_angle_gamma 90.00
loop_
_atom_site_label
_atom_site_type_symbol
_atom_site_fract_x
_atom_site_fract_y
_atom_site_fract_z
Na1 Na 0.000 0.000 0.000
Pr1 Pr 0.000 0.000 0.500
Zn1 Zn 0.250 0.250 0.750
Cd1 Cd 0.250 0.250 0.250
# DOS(E_F) (states/eV/f.u.): 2.86
# Energy relative to the elements (meV per atom): -146
# Calculated total energy (eV/atom): -2.218

=====

No. 2
# NdEr3Ir4 (GGA-PBE, optimized geometry)
data_NdEr3Ir4
_chemical_formula_sum 'Nd1 Er3 Ir4'
_symmetry_space_group_name_H-M 'P 4/m m m'
_symmetry_Int_Tables_number 123
_symmetry_space_group_name_Hall '-P 4 2'
_cell_length_a 4.939
_cell_length_b 4.939
_cell_length_c 6.646
_cell_angle_alpha 90.00
_cell_angle_beta 90.00
_cell_angle_gamma 90.00
loop_
_atom_site_label
_atom_site_type_symbol
_atom_site_fract_x
_atom_site_fract_y
_atom_site_fract_z
Nd1 Nd 0.000 0.000 0.000
Er1 Er 0.000 0.000 0.500
Er2 Er 0.500 0.500 0.000
Er3 Er 0.500 0.500 0.500
Ir1 Ir 0.000 0.500 0.257
# DOS(E_F) (states/eV/f.u.): 4.54
# Energy relative to the elements (meV per atom): -776
# Calculated total energy (eV/atom): -7.513

=====

No. 3
# Al2SiTcAs (GGA-PBE, optimized geometry)
data_Al2SiTcAs
_chemical_formula_sum 'Al2 Si1 Tc1 As1'
_symmetry_space_group_name_H-M 'P 4/m m m'
_symmetry_Int_Tables_number 123
_symmetry_space_group_name_Hall '-P 4 2'
_cell_length_a 4.684
_cell_length_b 4.684
_cell_length_c 4.469
_cell_angle_alpha 90.00
_cell_angle_beta 90.00
_cell_angle_gamma 90.00
loop_
_atom_site_label
_atom_site_type_symbol
_atom_site_fract_x
_atom_site_fract_y
_atom_site_fract_z
Al1 Al 0.000 0.500 0.000
Si1 Si 0.000 0.000 0.000
Tc1 Tc 0.000 0.000 0.500
As1 As 0.500 0.500 0.500
# DOS(E_F) (states/eV/f.u.): 2.77
# Formation energy (no corrections) (meV/atom): 755
# Calculated total energy (eV/atom): -4.829

=====

No. 4
# Li3La2Ni12Pd (GGA-PBE, optimized geometry)
data_Li3La2Ni12Pd
_chemical_formula_sum 'Li9 La6 Ni36 Pd3'
_symmetry_space_group_name_H-M 'R -3 m'
_symmetry_Int_Tables_number 166
_symmetry_space_group_name_Hall '-R 3 2"'
_cell_length_a 5.9254
_cell_length_b 5.9254
_cell_length_c 26.6878
_cell_angle_alpha 90.00
_cell_angle_beta 90.00
_cell_angle_gamma 120.00
loop_
_atom_site_label
_atom_site_type_symbol
_atom_site_fract_x
_atom_site_fract_y
_atom_site_fract_z
Li1 Li 0.0000 0.5000 0.0000
La1 La 0.0000 0.0000 0.1385
Ni1 Ni 0.0478 0.5239 0.9005
Ni2 Ni 0.0738 0.5369 0.6232
Pd1 Pd 0.0000 0.0000 0.5000
# DOS(E_F) (states/eV/f.u.): 22.83
# Energy relative to the elements (meV per atom): 148
# Calculated total energy (eV/atom): -4.861

=====

Question: Look up the calculated total energy of the second one.
Answer: -7.513 eV/atom